VASP calculation (GGA-PBE) on a relaxed structure of BOsSeBr2.

Properties
raw formation energy: 1577 meV/atom
polymorph energy (0 for the lowest one): 287 meV/atom
total energy: -3.37 eV per atom
calculated volume: 95.5 Å³/cell

Unit cell a=4.448 b=4.448 c=4.828 alpha=90.00 beta=90.00 gamma=90.00
Last column: magnetic moment on the atom in μB.
Fractional coordinates of all 5 atoms:
1 B 0.000 0.000 0.000  0.00
2 Os 0.500 0.500 0.500  2.69
3 Se 0.000 0.000 0.500  0.02
4 Br 0.000 0.500 0.000  0.14
5 Br 0.500 0.000 0.000  0.14